Material: CdFePtO2
Method: DFT, PBE+U
State: relaxed

Lattice parameters (Å, degrees): 3.8098 5.1689 3.8098 90.00 90.00 90.00
With the nearest neighbours (Å) after each atom.
Atoms (fractional coordinates):
1 O 0.0000 0.0000 0.5000  2 Fe 1.90
2 Pt 0.0000 0.5000 0.0000  2 Fe 2.58, 4 Cd 2.69
3 O 0.5000 0.0000 0.0000  2 Fe 1.90
4 Cd 0.5000 0.5000 0.5000  4 Pt 2.69
5 Fe 0.0000 0.0000 0.0000  4 O 1.90

Properties
theoretical density: 8.75 Mg/m³
magnetization: 4.23 μB per formula unit
uncorrected energy: -23.73 eV per cell